Crystalline SiHg3Au at its relaxed geometry. Source: the Alexandria database, functional PBE.

Output
Its uncorrected energy is -7.6 eV per formula unit. The energy relative to the elements, uncorrected is 0.399 eV per atom. The energy above the most stable polymorph in this dataset comes out at 0 meV per atom.

a = 5.1310 Å, b = 5.1310 Å, c = 5.1310 Å
α = 90.00°, β = 90.00°, γ = 90.00°
Space group Pm-3m (No. 221)
Unique sites:
1 Si 0.0000 0.0000 0.0000 x1
2 Hg 0.0000 0.0000 0.5000 x3
3 Au 0.5000 0.5000 0.5000 x1